<1>
A plane-wave DFT calculation with GGA-PBEsol was carried out for a geometry-optimized P2RuRh structure.

Cell and atoms, written as extended XYZ:
```
8
Lattice="4.0374 0.0000 0.0000 0.0000 4.0374 0.0000 0.0000 0.0000 6.2072" Properties=species:S:1:pos:R:3 pbc="T T T"
P 0.0000 2.0187 1.5518
P 0.0000 2.0187 4.6554
P 2.0187 0.0000 1.5518
P 2.0187 0.0000 4.6554
Ru 0.0000 0.0000 0.0000
Ru 2.0187 2.0187 3.1036
Rh 0.0000 0.0000 3.1036
Rh 2.0187 2.0187 0.0000
```

Properties
Total moment, μB per formula unit: 0.000

***

<2>
A plane-wave DFT calculation with GGA-PBEsol was carried out for a geometry-optimized P2RuRh structure.

Cell and atoms, written as extended XYZ:
```
4
Lattice="3.2566 0.0000 0.0000 0.0000 3.2566 0.0000 0.0000 0.0000 4.9197" Properties=species:S:1:pos:R:3 pbc="T T T"
P 0.0000 0.0000 0.0000
P 1.6283 1.6283 1.7034
Ru 1.6283 1.6283 4.1916
Rh 0.0000 0.0000 2.3672
```

Properties
Total moment, μB per formula unit: 0.499

***

Last place for stability: <1>

***

<1>
A plane-wave DFT calculation with GGA-PBEsol was carried out for a geometry-optimized P2RuRh structure.

Cell and atoms, written as extended XYZ:
```
12
Lattice="2.8658 0.0000 0.0000 -1.4329 2.4819 0.0000 0.0000 0.0000 21.6813" Properties=species:S:1:pos:R:3 pbc="T T T"
P 0.0000 0.0000 5.3954
P 0.0000 0.0000 16.2858
P 0.0000 1.6546 9.0588
P 0.0000 1.6546 19.8496
P 1.4329 0.8273 1.8317
P 1.4329 0.8273 12.6225
Ru 0.0000 0.0000 10.8406
Ru 0.0000 1.6546 3.6135
Ru 1.4329 0.8273 18.0677
Rh 0.0000 0.0000 0.0000
Rh 0.0000 1.6546 14.4542
Rh 1.4329 0.8273 7.2271
```

Properties
Total moment, μB per formula unit: 0.000

***

<2>
A plane-wave DFT calculation with GGA-PBEsol was carried out for a geometry-optimized P2RuRh structure.

Cell and atoms, written as extended XYZ:
```
4
Lattice="2.9287 0.0000 0.0000 0.0000 4.4489 0.0000 0.0000 0.0000 3.9643" Properties=species:S:1:pos:R:3 pbc="T T T"
P 0.0000 0.0000 0.0000
P 1.4644 2.2245 1.0468
Ru 1.4644 0.0000 1.8961
Rh 0.0000 2.2245 3.1129
```

Properties
Total moment, μB per formula unit: 0.000

***

Last place for stability: <1>

***

<1>
A plane-wave DFT calculation with GGA-PBEsol was carried out for a geometry-optimized PRuRhS2 structure.

Cell and atoms, written as extended XYZ:
```
5
Lattice="4.5090 0.0000 0.0000 0.0000 4.5090 0.0000 0.0000 0.0000 4.3365" Properties=species:S:1:pos:R:3 pbc="T T T"
P 0.0000 0.0000 0.0000
Ru 2.2545 2.2545 0.0000
Rh 0.0000 0.0000 2.1683
S 0.0000 2.2545 2.1683
S 2.2545 0.0000 2.1683
```

Properties
Total moment, μB per formula unit: 0.003

***

<2>
A plane-wave DFT calculation with GGA-PBEsol was carried out for a geometry-optimized PRuRhS2 structure.

Cell and atoms, written as extended XYZ:
```
5
Lattice="4.4939 0.0000 0.0000 0.0000 4.4939 0.0000 0.0000 0.0000 4.4013" Properties=species:S:1:pos:R:3 pbc="T T T"
P 0.0000 0.0000 0.0000
Ru 0.0000 0.0000 2.2006
Rh 2.2469 2.2469 0.0000
S 0.0000 2.2469 2.2006
S 2.2469 0.0000 2.2006
```

Properties
Total moment, μB per formula unit: 0.003

***

Last place for stability: <1>